Entry 1:
This record from Alexandria via LeMat-Bulk describes crystalline SnTe2N2 at its relaxed geometry. The functional is PBE.

Summary:
M_tot: 2.64 μB per cell
E_form (uncorrected): 9.33 eV per formula unit
DOS at the Fermi energy: 6.3 states/eV/f.u.
ρ: 4.74 g/cm³
polymorph energy (0 for the lowest one): 1.9157 eV per atom
final energy: -3.52 eV/atom

Cell lengths 6.0481, 6.0481, 3.8521 Å; angles 90.00, 90.00, 90.00 degrees
Space group P4/mmm (No. 123)
One atom of each set of equivalent atoms:
1 Sn 0.0000 0.0000 0.0000
2 Te 0.0000 0.5000 0.0000
3 N 0.0000 0.0000 0.5000
4 N 0.5000 0.5000 0.5000

***

Entry 2:
This record from Alexandria via LeMat-Bulk describes crystalline TlCdAsPb at its relaxed geometry. The functional is PBE.

Summary:
M_tot: 0.00 μB per cell
DOS at the Fermi energy: 4.5 states/eV/f.u.
ρ: 9.13 g/cm³
energy of formation: 59 kJ/mol of formula units
final energy: -2.76 eV/atom

Cell lengths 7.5814, 7.5814, 7.5814 Å; angles 90.00, 90.00, 90.00 degrees
Space group F-43m (No. 216)
One atom of each set of equivalent atoms:
1 Tl 0.0000 0.0000 0.0000
2 Cd 0.2500 0.2500 0.7500
3 As 0.2500 0.2500 0.2500
4 Pb 0.0000 0.0000 0.5000

***

Entry 3:
This record from Alexandria via LeMat-Bulk describes crystalline VTe at its relaxed geometry. The functional is PBE.

Summary:
M_tot: 18.00 μB per cell
E_form (uncorrected): 0.41 eV per formula unit
DOS at the Fermi energy: 1.6 states/eV/f.u.
ρ: 3.94 g/cm³
final energy: -5.93 eV/atom

Cell lengths 7.6705, 7.6705, 7.6705 Å; angles 90.00, 90.00, 90.00 degrees
Space group Pm-3n (No. 223)
One atom of each set of equivalent atoms:
1 V 0.0000 0.2500 0.5000
2 Te 0.0000 0.5000 0.2500

***

Entry 4:
This record from Alexandria via LeMat-Bulk describes crystalline ReGeOs at its relaxed geometry. The functional is PBE.

Summary:
M_tot: 0.00 μB per cell
DOS at the Fermi energy: 1.6 states/eV/f.u.
ρ: 16.71 g/cm³
energy of formation: 69 kJ/mol of formula units
polymorph energy (0 for the lowest one): 0.1762 eV per atom
final energy: -9.19 eV/atom

Cell lengths 8.9857, 4.0796, 5.1459 Å; angles 90.00, 108.91, 90.00 degrees
Space group C2/m (No. 12)
One atom of each set of equivalent atoms:
1 Re 0.0038 0.0000 0.2458
2 Ge 0.1755 0.5000 0.1039
3 Os 0.1551 0.5000 0.5846

***

Entry 5:
This record from Alexandria via LeMat-Bulk describes crystalline AcAl3NiPd at its relaxed geometry. The functional is PBE.

Summary:
M_tot: 0.00 μB per cell
DOS at the Fermi energy: 2.8 states/eV/f.u.
ρ: 6.63 g/cm³
energy of formation: -287 kJ/mol of formula units
final energy: -4.88 eV/atom

Cell lengths 6.3823, 12.4153, 5.9794 Å; angles 90.00, 90.00, 90.00 degrees
Space group Cmcm (No. 63)
One atom of each set of equivalent atoms:
1 Ac 0.0000 0.2326 0.2500
2 Al 0.0000 0.3585 0.7500
3 Al 0.2140 0.0000 0.0000
4 Ni 0.0000 0.4525 0.2500
5 Pd 0.0000 0.1424 0.7500

***

Entry 6:
This record from Alexandria via LeMat-Bulk describes crystalline PaTi2Fe at its relaxed geometry. The functional is PBE.

Summary:
M_tot: 0.00 μB per cell
DOS at the Fermi energy: 5.9 states/eV/f.u.
ρ: 8.89 g/cm³
energy of formation: -51 kJ/mol of formula units
polymorph energy (0 for the lowest one): 0.0000 eV per atom
final energy: -8.57 eV/atom

Cell lengths 6.3509, 8.4163, 5.3475 Å; angles 90.00, 90.00, 90.00 degrees
Space group Pnma (No. 62)
One atom of each set of equivalent atoms:
1 Pa 0.0488 0.2500 0.1471
2 Ti 0.1764 0.0577 0.6494
3 Fe 0.1275 0.7500 0.4387

***

Entry 7:
This record from Alexandria via LeMat-Bulk describes crystalline ReIr2Os at its relaxed geometry. The functional is PBE.

Summary:
M_tot: 0.00 μB per cell
DOS at the Fermi energy: 2.6 states/eV/f.u.
ρ: 21.76 g/cm³
energy of formation: -22 kJ/mol of formula units
final energy: -10.41 eV/atom

Cell lengths 3.8544, 3.8544, 3.9078 Å; angles 90.00, 90.00, 90.00 degrees
Space group P4/mmm (No. 123)
One atom of each set of equivalent atoms:
1 Re 0.0000 0.0000 0.0000
2 Ir 0.0000 0.5000 0.5000
3 Os 0.5000 0.5000 0.0000

***

Entry 8:
This record from Alexandria via LeMat-Bulk describes crystalline SmThMgPa at its relaxed geometry. The functional is PBE.

Summary:
M_tot: 0.00 μB per cell
DOS at the Fermi energy: 7.7 states/eV/f.u.
ρ: 9.25 g/cm³
energy of formation: 117 kJ/mol of formula units
final energy: -5.50 eV/atom

Cell lengths 7.7077, 7.7077, 7.7077 Å; angles 90.00, 90.00, 90.00 degrees
Space group F-43m (No. 216)
One atom of each set of equivalent atoms:
1 Sm 0.0000 0.0000 0.0000
2 Th 0.0000 0.0000 0.5000
3 Mg 0.2500 0.2500 0.2500
4 Pa 0.2500 0.2500 0.7500

***

Entry 9:
This record from Alexandria via LeMat-Bulk describes crystalline Li3Ge2Au3 at its relaxed geometry. The functional is PBE.

Summary:
M_tot: 0.00 μB per cell
DOS at the Fermi energy: 2.6 states/eV/f.u.
ρ: 9.03 g/cm³
energy of formation: -280 kJ/mol of formula units
polymorph energy (0 for the lowest one): 0.0140 eV per atom
final energy: -3.46 eV/atom

Cell lengths 8.9505, 4.4499, 7.1314 Å; angles 90.00, 101.44, 90.00 degrees
Space group C2/m (No. 12)
One atom of each set of equivalent atoms:
1 Li 0.0000 0.0000 0.0000
2 Li 0.1615 0.0000 0.4584
3 Ge 0.1836 0.5000 0.8237
4 Au 0.0000 0.5000 0.5000
5 Au 0.1435 0.5000 0.1802

***

Entry 10:
This record from Alexandria via LeMat-Bulk describes crystalline LaTa2P at its relaxed geometry. The functional is PBE.

Summary:
M_tot: 0.00 μB per cell
DOS at the Fermi energy: 4.7 states/eV/f.u.
ρ: 10.67 g/cm³
energy of formation: -9 kJ/mol of formula units
final energy: -8.53 eV/atom

Cell lengths 3.0574, 5.0438, 10.7297 Å; angles 90.00, 90.00, 90.00 degrees
Space group Immm (No. 71)
One atom of each set of equivalent atoms:
1 La 0.0000 0.0000 0.0000
2 Ta 0.0000 0.5000 0.1958
3 P 0.0000 0.0000 0.5000

***

Entry 11:
This record from Alexandria via LeMat-Bulk describes crystalline CsAcAgO2 at its relaxed geometry. The functional is PBE.

Summary:
M_tot: 0.00 μB per cell
E_form (uncorrected): -7.81 eV per formula unit
DOS at the Fermi energy: 1.7 states/eV/f.u.
ρ: 4.67 g/cm³
final energy: -5.11 eV/atom

Cell lengths 7.9710, 6.3135, 7.5700 Å; angles 90.00, 111.20, 90.00 degrees
Space group P2/c (No. 13)
One atom of each set of equivalent atoms:
1 Cs 0.0000 0.1790 0.2500
2 Ac 0.5000 0.4905 0.7500
3 Ag 0.5000 0.0000 0.0000
4 O 0.3783 0.3051 0.4474

***

Entry 12:
This record from Alexandria via LeMat-Bulk describes crystalline Sc5Cu at its relaxed geometry. The functional is PBE.

Summary:
M_tot: 0.02 μB per cell
DOS at the Fermi energy: 11.0 states/eV/f.u.
ρ: 3.65 g/cm³
energy of formation: 42 kJ/mol of formula units
polymorph energy (0 for the lowest one): 0.1229 eV per atom
final energy: -5.89 eV/atom

Cell lengths 5.5657, 5.5657, 4.8949 Å; angles 90.00, 90.00, 120.00 degrees
Space group P-62m (No. 189)
One atom of each set of equivalent atoms:
1 Sc 0.0000 0.6894 0.0000
2 Sc 0.3333 0.6667 0.5000
3 Cu 0.0000 0.0000 0.5000

***

What did the ninth record say?
This record from Alexandria via LeMat-Bulk describes crystalline Li3Ge2Au3 at its relaxed geometry. The functional is PBE.

Summary:
M_tot: 0.00 μB per cell
DOS at the Fermi energy: 2.6 states/eV/f.u.
ρ: 9.03 g/cm³
energy of formation: -280 kJ/mol of formula units
polymorph energy (0 for the lowest one): 0.0140 eV per atom
final energy: -3.46 eV/atom

Cell lengths 8.9505, 4.4499, 7.1314 Å; angles 90.00, 101.44, 90.00 degrees
Space group C2/m (No. 12)
One atom of each set of equivalent atoms:
1 Li 0.0000 0.0000 0.0000
2 Li 0.1615 0.0000 0.4584
3 Ge 0.1836 0.5000 0.8237
4 Au 0.0000 0.5000 0.5000
5 Au 0.1435 0.5000 0.1802